Density functional theory data (GGA-PBE) for a relaxed structure of AgB4Mo.

Results
The symmetry is No. 191. Its calculated volume is 9.99 A^3/atom. The total DFT energy (no corrections) is -6.686 eV/atom. The crystal system is hexagonal.

```
6
Lattice="2.987 0.000 0.000 -1.494 2.587 0.000 0.000 0.000 7.754" Properties=species:S:1:pos:R:3 pbc="T T T"
Ag 0.000 0.000 0.000
B 0.000 1.725 2.219
B 0.000 1.725 5.535
B 1.494 0.862 2.219
B 1.494 0.862 5.535
Mo 0.000 0.000 3.877
```